# 1
# GGA-PBE ScTi2Ag2, relaxed
data_ScTi2Ag2
_cell_length_a 7.785
_cell_length_b 7.785
_cell_length_c 3.140
_cell_angle_alpha 90.00
_cell_angle_beta 90.00
_cell_angle_gamma 90.00
_symmetry_space_group_name_H-M 'P 1'
_symmetry_Int_Tables_number 1
loop_
_symmetry_equiv_pos_as_xyz
'x,y,z'
loop_
_atom_site_label
_atom_site_type_symbol
_atom_site_fract_x
_atom_site_fract_y
_atom_site_fract_z
_atom_site_occupancy
Sc1 Sc 0.000 0.000 0.000 1
Sc2 Sc 0.500 0.500 0.000 1
Ag1 Ag 0.373 0.873 0.000 1
Ag2 Ag 0.873 0.627 0.000 1
Ag3 Ag 0.627 0.127 0.000 1
Ag4 Ag 0.127 0.373 0.000 1
Ti1 Ti 0.170 0.670 0.500 1
Ti2 Ti 0.670 0.830 0.500 1
Ti3 Ti 0.830 0.330 0.500 1
Ti4 Ti 0.330 0.170 0.500 1
# Excess energy over the best structure of this formula in the dataset ... 0.001 eV/atom
# Crystal system ... tetragonal
# Formation energy from the elements ... 0.148 eV/atom
# Total magnetic moment ... 0.18 μB per atom
# V ... 95.16 Å³/f.u.
# Space-group type ... P4/mbm

# 2
# GGA-PBE MnCd2Ni, relaxed
data_MnCd2Ni
_cell_length_a 4.549
_cell_length_b 4.549
_cell_length_c 4.549
_cell_angle_alpha 60.00
_cell_angle_beta 60.00
_cell_angle_gamma 60.00
_symmetry_space_group_name_H-M 'P 1'
_symmetry_Int_Tables_number 1
loop_
_symmetry_equiv_pos_as_xyz
'x,y,z'
loop_
_atom_site_label
_atom_site_type_symbol
_atom_site_fract_x
_atom_site_fract_y
_atom_site_fract_z
_atom_site_occupancy
Cd1 Cd 0.000 0.000 0.000 1
Cd2 Cd 0.750 0.750 0.750 1
Mn1 Mn 0.500 0.500 0.500 1
Ni1 Ni 0.250 0.250 0.250 1
# Excess energy over the best structure of this formula in the dataset ... 0.124 eV/atom
# Crystal system ... cubic
# Formation energy from the elements ... 0.197 eV/atom
# Total magnetic moment ... 1.04 μB per atom
# V ... 66.57 Å³/f.u.
# Space-group type ... F-43m

- Number 2 is which compound?
  MnCd2Ni